<one>
## TaBe2Br (PBE-GGA)

Data for a relaxed TaBe2Br crystal.

Cell and atoms, written as CIF:
```
data_TaBe2Br
_cell_length_a 3.0087
_cell_length_b 3.5916
_cell_length_c 6.2075
_cell_angle_alpha 90.00
_cell_angle_beta 103.96
_cell_angle_gamma 90.00
_symmetry_space_group_name_H-M 'P 1'
_symmetry_Int_Tables_number 1
loop_
_symmetry_equiv_pos_as_xyz
'x,y,z'
loop_
_atom_site_label
_atom_site_fract_x
_atom_site_fract_y
_atom_site_fract_z
Ta1 0.0000 0.0000 0.0000
Be1 0.5755 0.5000 0.1489
Be2 0.6650 0.0000 0.3355
Br1 0.8145 0.5000 0.6323
```

Properties
M_tot (μB/f.u.): 0.2
Volume (A^3/atom): 16.27

<two>
## TaBe2Br (PBE-GGA)

Data for a relaxed TaBe2Br crystal.

Cell and atoms, written as CIF:
```
data_TaBe2Br
_cell_length_a 3.0702
_cell_length_b 3.0702
_cell_length_c 22.8465
_cell_angle_alpha 90.00
_cell_angle_beta 90.00
_cell_angle_gamma 120.00
_symmetry_space_group_name_H-M 'P 1'
_symmetry_Int_Tables_number 1
loop_
_symmetry_equiv_pos_as_xyz
'x,y,z'
loop_
_atom_site_label
_atom_site_fract_x
_atom_site_fract_y
_atom_site_fract_z
Ta1 0.0000 0.0000 0.0000
Ta2 0.3333 0.6667 0.6667
Ta3 0.6667 0.3333 0.3333
Be1 0.0000 0.0000 0.2459
Be2 0.0000 0.0000 0.7541
Be3 0.3333 0.6667 0.4208
Be4 0.3333 0.6667 0.9126
Be5 0.6667 0.3333 0.0874
Be6 0.6667 0.3333 0.5792
Br1 0.0000 0.0000 0.5000
Br2 0.3333 0.6667 0.1667
Br3 0.6667 0.3333 0.8333
```

Properties
M_tot (μB/f.u.): 0.0
Volume (A^3/atom): 15.54

Which one sits at the top of the stability order? <one> does.

<one>
## Ta2BeBr (PBE-GGA)

Data for a relaxed Ta2BeBr crystal.

Cell and atoms, written as CIF:
```
data_Ta2BeBr
_cell_length_a 3.8741
_cell_length_b 3.8741
_cell_length_c 8.8047
_cell_angle_alpha 90.00
_cell_angle_beta 90.00
_cell_angle_gamma 90.00
_symmetry_space_group_name_H-M 'P 1'
_symmetry_Int_Tables_number 1
loop_
_symmetry_equiv_pos_as_xyz
'x,y,z'
loop_
_atom_site_label
_atom_site_fract_x
_atom_site_fract_y
_atom_site_fract_z
Ta1 0.0000 0.0000 0.0000
Ta2 0.0000 0.5000 0.2500
Ta3 0.5000 0.0000 0.7500
Ta4 0.5000 0.5000 0.5000
Be1 0.0000 0.5000 0.7500
Be2 0.5000 0.0000 0.2500
Br1 0.0000 0.0000 0.5000
Br2 0.5000 0.5000 0.0000
```

Properties
M_tot (μB/f.u.): 0.0
Volume (A^3/atom): 16.52

<two>
## Ta2BeBr (PBE-GGA)

Data for a relaxed Ta2BeBr crystal.

Cell and atoms, written as CIF:
```
data_Ta2BeBr
_cell_length_a 3.5974
_cell_length_b 3.5974
_cell_length_c 19.2687
_cell_angle_alpha 90.00
_cell_angle_beta 90.00
_cell_angle_gamma 120.00
_symmetry_space_group_name_H-M 'P 1'
_symmetry_Int_Tables_number 1
loop_
_symmetry_equiv_pos_as_xyz
'x,y,z'
loop_
_atom_site_label
_atom_site_fract_x
_atom_site_fract_y
_atom_site_fract_z
Ta1 0.0000 0.0000 0.2197
Ta2 0.0000 0.0000 0.7803
Ta3 0.3333 0.6667 0.4470
Ta4 0.3333 0.6667 0.8864
Ta5 0.6667 0.3333 0.1136
Ta6 0.6667 0.3333 0.5530
Be1 0.0000 0.0000 0.5000
Be2 0.3333 0.6667 0.1667
Be3 0.6667 0.3333 0.8333
Br1 0.0000 0.0000 0.0000
Br2 0.3333 0.6667 0.6667
Br3 0.6667 0.3333 0.3333
```

Properties
M_tot (μB/f.u.): 0.0
Volume (A^3/atom): 18.00

<three>
## Ta2BeBr (PBE-GGA)

Data for a relaxed Ta2BeBr crystal.

Cell and atoms, written as CIF:
```
data_Ta2BeBr
_cell_length_a 2.9348
_cell_length_b 4.7109
_cell_length_c 5.1252
_cell_angle_alpha 90.00
_cell_angle_beta 106.52
_cell_angle_gamma 90.00
_symmetry_space_group_name_H-M 'P 1'
_symmetry_Int_Tables_number 1
loop_
_symmetry_equiv_pos_as_xyz
'x,y,z'
loop_
_atom_site_label
_atom_site_fract_x
_atom_site_fract_y
_atom_site_fract_z
Ta1 0.0000 0.0000 0.0000
Ta2 0.3537 0.5000 0.7105
Be1 0.6089 0.5000 0.2147
Br1 0.2643 0.0000 0.5235
```

Properties
M_tot (μB/f.u.): 0.0
Volume (A^3/atom): 16.98

Which one sits at the top of the stability order? <two> does.

<one>
## Ta2BeBr (PBE-GGA)

Data for a relaxed Ta2BeBr crystal.

Cell and atoms, written as CIF:
```
data_Ta2BeBr
_cell_length_a 6.3241
_cell_length_b 6.3241
_cell_length_c 6.3241
_cell_angle_alpha 90.00
_cell_angle_beta 90.00
_cell_angle_gamma 90.00
_symmetry_space_group_name_H-M 'P 1'
_symmetry_Int_Tables_number 1
loop_
_symmetry_equiv_pos_as_xyz
'x,y,z'
loop_
_atom_site_label
_atom_site_fract_x
_atom_site_fract_y
_atom_site_fract_z
Ta1 0.2500 0.2500 0.2500
Ta2 0.2500 0.2500 0.7500
Ta3 0.2500 0.7500 0.2500
Ta4 0.2500 0.7500 0.7500
Ta5 0.7500 0.2500 0.2500
Ta6 0.7500 0.2500 0.7500
Ta7 0.7500 0.7500 0.2500
Ta8 0.7500 0.7500 0.7500
Be1 0.0000 0.0000 0.0000
Be2 0.0000 0.5000 0.5000
Be3 0.5000 0.0000 0.5000
Be4 0.5000 0.5000 0.0000
Br1 0.0000 0.0000 0.5000
Br2 0.0000 0.5000 0.0000
Br3 0.5000 0.0000 0.0000
Br4 0.5000 0.5000 0.5000
```

Properties
M_tot (μB/f.u.): 0.0
Volume (A^3/atom): 15.81

<two>
## Ta2BeBr (PBE-GGA)

Data for a relaxed Ta2BeBr crystal.

Cell and atoms, written as CIF:
```
data_Ta2BeBr
_cell_length_a 9.4075
_cell_length_b 2.9733
_cell_length_c 4.7986
_cell_angle_alpha 90.00
_cell_angle_beta 104.29
_cell_angle_gamma 90.00
_symmetry_space_group_name_H-M 'P 1'
_symmetry_Int_Tables_number 1
loop_
_symmetry_equiv_pos_as_xyz
'x,y,z'
loop_
_atom_site_label
_atom_site_fract_x
_atom_site_fract_y
_atom_site_fract_z
Ta1 0.0000 0.0000 0.0000
Ta2 0.2279 0.0000 0.6442
Ta3 0.5000 0.5000 0.0000
Ta4 0.7279 0.5000 0.6442
Be1 0.4977 0.0000 0.5398
Be2 0.9977 0.5000 0.5398
Br1 0.2465 0.5000 0.1855
Br2 0.7465 0.0000 0.1855
```

Properties
M_tot (μB/f.u.): 0.0
Volume (A^3/atom): 16.26

<three>
## Ta2BeBr (PBE-GGA)

Data for a relaxed Ta2BeBr crystal.

Cell and atoms, written as CIF:
```
data_Ta2BeBr
_cell_length_a 8.9643
_cell_length_b 3.1248
_cell_length_c 4.8752
_cell_angle_alpha 90.00
_cell_angle_beta 96.54
_cell_angle_gamma 90.00
_symmetry_space_group_name_H-M 'P 1'
_symmetry_Int_Tables_number 1
loop_
_symmetry_equiv_pos_as_xyz
'x,y,z'
loop_
_atom_site_label
_atom_site_fract_x
_atom_site_fract_y
_atom_site_fract_z
Ta1 0.2464 0.0000 0.2251
Ta2 0.2536 0.5000 0.7749
Ta3 0.7464 0.5000 0.2251
Ta4 0.7536 0.0000 0.7749
Be1 0.0000 0.5000 0.0000
Be2 0.5000 0.0000 0.0000
Br1 0.0000 0.0000 0.5000
Br2 0.5000 0.5000 0.5000
```

Properties
M_tot (μB/f.u.): 0.0
Volume (A^3/atom): 16.96

<four>
## Ta2BeBr (PBE-GGA)

Data for a relaxed Ta2BeBr crystal.

Cell and atoms, written as CIF:
```
data_Ta2BeBr
_cell_length_a 3.7274
_cell_length_b 4.6743
_cell_length_c 9.2223
_cell_angle_alpha 90.00
_cell_angle_beta 90.00
_cell_angle_gamma 90.00
_symmetry_space_group_name_H-M 'P 1'
_symmetry_Int_Tables_number 1
loop_
_symmetry_equiv_pos_as_xyz
'x,y,z'
loop_
_atom_site_label
_atom_site_fract_x
_atom_site_fract_y
_atom_site_fract_z
Ta1 0.0000 0.0000 0.0000
Ta2 0.0000 0.5000 0.2358
Ta3 0.5000 0.0000 0.2358
Ta4 0.5000 0.5000 0.0000
Be1 0.0000 0.0000 0.4082
Be2 0.5000 0.5000 0.4082
Br1 0.0000 0.5000 0.7854
Br2 0.5000 0.0000 0.7854
```

Properties
M_tot (μB/f.u.): 0.0
Volume (A^3/atom): 20.09

Which one sits at the top of the stability order? <four> does.

<one>
## TaBeBr2 (PBE-GGA)

Data for a relaxed TaBeBr2 crystal.

Cell and atoms, written as CIF:
```
data_TaBeBr2
_cell_length_a 6.0267
_cell_length_b 8.8089
_cell_length_c 3.1825
_cell_angle_alpha 90.00
_cell_angle_beta 113.27
_cell_angle_gamma 90.00
_symmetry_space_group_name_H-M 'P 1'
_symmetry_Int_Tables_number 1
loop_
_symmetry_equiv_pos_as_xyz
'x,y,z'
loop_
_atom_site_label
_atom_site_fract_x
_atom_site_fract_y
_atom_site_fract_z
Ta1 0.0000 0.0000 0.0000
Ta2 0.5000 0.5000 0.0000
Be1 0.0000 0.5000 0.0000
Be2 0.5000 0.0000 0.0000
Br1 0.2500 0.2500 0.0000
Br2 0.2500 0.7500 0.0000
Br3 0.7500 0.2500 0.0000
Br4 0.7500 0.7500 0.0000
```

Properties
M_tot (μB/f.u.): 0.0
Volume (A^3/atom): 19.40

<two>
## TaBeBr2 (PBE-GGA)

Data for a relaxed TaBeBr2 crystal.

Cell and atoms, written as CIF:
```
data_TaBeBr2
_cell_length_a 8.0756
_cell_length_b 3.2299
_cell_length_c 8.2098
_cell_angle_alpha 90.00
_cell_angle_beta 101.77
_cell_angle_gamma 90.00
_symmetry_space_group_name_H-M 'P 1'
_symmetry_Int_Tables_number 1
loop_
_symmetry_equiv_pos_as_xyz
'x,y,z'
loop_
_atom_site_label
_atom_site_fract_x
_atom_site_fract_y
_atom_site_fract_z
Ta1 0.0000 0.0000 0.0000
Ta2 0.5000 0.5000 0.0000
Be1 0.2634 0.0000 0.8960
Be2 0.7634 0.5000 0.8960
Br1 0.0954 0.5000 0.2518
Br2 0.4268 0.0000 0.7174
Br3 0.5954 0.0000 0.2518
Br4 0.9268 0.5000 0.7174
```

Properties
M_tot (μB/f.u.): 0.0
Volume (A^3/atom): 26.20

<three>
## TaBeBr2 (PBE-GGA)

Data for a relaxed TaBeBr2 crystal.

Cell and atoms, written as CIF:
```
data_TaBeBr2
_cell_length_a 3.0671
_cell_length_b 5.9356
_cell_length_c 10.5157
_cell_angle_alpha 90.00
_cell_angle_beta 90.00
_cell_angle_gamma 90.00
_symmetry_space_group_name_H-M 'P 1'
_symmetry_Int_Tables_number 1
loop_
_symmetry_equiv_pos_as_xyz
'x,y,z'
loop_
_atom_site_label
_atom_site_fract_x
_atom_site_fract_y
_atom_site_fract_z
Ta1 0.0000 0.0000 0.0000
Ta2 0.5000 0.5000 0.0000
Be1 0.0000 0.0000 0.5000
Be2 0.5000 0.5000 0.5000
Br1 0.0000 0.5000 0.2038
Br2 0.0000 0.5000 0.7962
Br3 0.5000 0.0000 0.2038
Br4 0.5000 0.0000 0.7962
```

Properties
M_tot (μB/f.u.): 0.0
Volume (A^3/atom): 23.93

Which one sits at the top of the stability order? <two> does.

<one>
## TaBeBr2 (PBE-GGA)

Data for a relaxed TaBeBr2 crystal.

Cell and atoms, written as CIF:
```
data_TaBeBr2
_cell_length_a 3.2692
_cell_length_b 3.2692
_cell_length_c 28.0924
_cell_angle_alpha 90.00
_cell_angle_beta 90.00
_cell_angle_gamma 120.00
_symmetry_space_group_name_H-M 'P 1'
_symmetry_Int_Tables_number 1
loop_
_symmetry_equiv_pos_as_xyz
'x,y,z'
loop_
_atom_site_label
_atom_site_fract_x
_atom_site_fract_y
_atom_site_fract_z
Ta1 0.0000 0.0000 0.0000
Ta2 0.3333 0.6667 0.6667
Ta3 0.6667 0.3333 0.3333
Be1 0.0000 0.0000 0.2593
Be2 0.3333 0.6667 0.9260
Be3 0.6667 0.3333 0.5927
Br1 0.0000 0.0000 0.5433
Br2 0.0000 0.0000 0.7328
Br3 0.3333 0.6667 0.2100
Br4 0.3333 0.6667 0.3995
Br5 0.6667 0.3333 0.0661
Br6 0.6667 0.3333 0.8767
```

Properties
M_tot (μB/f.u.): 1.0
Volume (A^3/atom): 21.67

<two>
## TaBeBr2 (PBE-GGA)

Data for a relaxed TaBeBr2 crystal.

Cell and atoms, written as CIF:
```
data_TaBeBr2
_cell_length_a 3.2407
_cell_length_b 3.2407
_cell_length_c 24.5241
_cell_angle_alpha 90.00
_cell_angle_beta 90.00
_cell_angle_gamma 120.00
_symmetry_space_group_name_H-M 'P 1'
_symmetry_Int_Tables_number 1
loop_
_symmetry_equiv_pos_as_xyz
'x,y,z'
loop_
_atom_site_label
_atom_site_fract_x
_atom_site_fract_y
_atom_site_fract_z
Ta1 0.0000 0.0000 0.0000
Ta2 0.3333 0.6667 0.6667
Ta3 0.6667 0.3333 0.3333
Be1 0.0000 0.0000 0.5000
Be2 0.3333 0.6667 0.1667
Be3 0.6667 0.3333 0.8333
Br1 0.0000 0.0000 0.1084
Br2 0.0000 0.0000 0.8916
Br3 0.3333 0.6667 0.5583
Br4 0.3333 0.6667 0.7750
Br5 0.6667 0.3333 0.2250
Br6 0.6667 0.3333 0.4417
```

Properties
M_tot (μB/f.u.): 0.0
Volume (A^3/atom): 18.59

Which one sits at the top of the stability order? <one> does.

<one>
## TaBeBr2 (PBE-GGA)

Data for a relaxed TaBeBr2 crystal.

Cell and atoms, written as CIF:
```
data_TaBeBr2
_cell_length_a 3.1488
_cell_length_b 4.8374
_cell_length_c 13.1716
_cell_angle_alpha 90.00
_cell_angle_beta 90.00
_cell_angle_gamma 90.00
_symmetry_space_group_name_H-M 'P 1'
_symmetry_Int_Tables_number 1
loop_
_symmetry_equiv_pos_as_xyz
'x,y,z'
loop_
_atom_site_label
_atom_site_fract_x
_atom_site_fract_y
_atom_site_fract_z
Ta1 0.0000 0.0000 0.0000
Ta2 0.5000 0.5000 0.5000
Be1 0.0000 0.5000 0.3550
Be2 0.5000 0.0000 0.8550
Br1 0.0000 0.0000 0.4646
Br2 0.0000 0.5000 0.6618
Br3 0.5000 0.0000 0.1618
Br4 0.5000 0.5000 0.9646
```

Properties
M_tot (μB/f.u.): 0.9
Volume (A^3/atom): 25.08

<two>
## TaBeBr2 (PBE-GGA)

Data for a relaxed TaBeBr2 crystal.

Cell and atoms, written as CIF:
```
data_TaBeBr2
_cell_length_a 6.5040
_cell_length_b 6.5040
_cell_length_c 6.5040
_cell_angle_alpha 90.00
_cell_angle_beta 90.00
_cell_angle_gamma 90.00
_symmetry_space_group_name_H-M 'P 1'
_symmetry_Int_Tables_number 1
loop_
_symmetry_equiv_pos_as_xyz
'x,y,z'
loop_
_atom_site_label
_atom_site_fract_x
_atom_site_fract_y
_atom_site_fract_z
Ta1 0.0000 0.0000 0.0000
Ta2 0.0000 0.5000 0.5000
Ta3 0.5000 0.0000 0.5000
Ta4 0.5000 0.5000 0.0000
Be1 0.0000 0.0000 0.5000
Be2 0.0000 0.5000 0.0000
Be3 0.5000 0.0000 0.0000
Be4 0.5000 0.5000 0.5000
Br1 0.2500 0.2500 0.2500
Br2 0.2500 0.2500 0.7500
Br3 0.2500 0.7500 0.2500
Br4 0.2500 0.7500 0.7500
Br5 0.7500 0.2500 0.2500
Br6 0.7500 0.2500 0.7500
Br7 0.7500 0.7500 0.2500
Br8 0.7500 0.7500 0.7500
```

Properties
M_tot (μB/f.u.): 0.0
Volume (A^3/atom): 17.20

Which one sits at the top of the stability order? <one> does.